DFT (PBE-GGA) results for a geometry-optimized SrThPb2 structure.

Cell lengths 3.6767, 3.6767, 9.4121 Å; angles 90.00, 90.00, 90.00 degrees
Positions (direct):
Pb  0.0000  0.0000  0.7558
Th  0.5000  0.5000  0.0000
Pb  0.0000  0.0000  0.2442
Sr  0.5000  0.5000  0.5000

Calculated values
DOS(E_F) = 3.61 states/eV/cell
energy above the lowest structure with this stoichiometry = 0.0 kJ per mole of atoms



DFT (PBE-GGA) results for a geometry-optimized SrThPb2 structure.

Cell lengths 5.3459, 5.3459, 6.2691 Å; angles 64.76, 64.76, 60.00 degrees
Positions (direct):
Pb  0.7541  0.7541  0.7377
Pb  0.2459  0.2459  0.2623
Sr  0.0000  0.0000  0.0000
Th  0.5000  0.5000  0.5000

Calculated values
DOS(E_F) = 2.88 states/eV/cell
energy above the lowest structure with this stoichiometry = 13.0 kJ per mole of atoms



DFT (PBE-GGA) results for a geometry-optimized SrThTlPb structure.

Cell lengths 5.6494, 5.6494, 5.6494 Å; angles 60.00, 60.00, 60.00 degrees
Positions (direct):
Sr  0.0000  0.0000  0.0000
Pb  0.2500  0.2500  0.2500
Tl  0.7500  0.7500  0.7500
Th  0.5000  0.5000  0.5000

Calculated values
DOS(E_F) = 4.11 states/eV/cell



| no. | energy of formation (meV/atom) | density (g/cm³) |
| --- | --- | --- |
| 1 | -392 | 9.58 |
| 2 | -258 | 9.03 |
| 3 | -192 | 9.52 |